VASP calculation (GGA+U) on crystalline ScFeO2 at its relaxed geometry.

Computed properties:
**Electronic total energy**: -7.53 eV per atom
**Energy above the most stable polymorph in this dataset**: 137 meV per atom
**Fermi-level density of states**: 0.372 states/eV per atom

a b c (Å): 4.7518 4.7518 9.8000
angles (deg): 90.00 90.00 90.00
Closest atoms and distances in Å follow each position.
Space group I-42d (No. 122)
Asymmetric unit:
Sc 0.0000 0.0000 0.0000  4 O 2.05
Fe 0.0000 0.0000 0.5000  4 O 2.10
O 0.2409 0.2500 0.1250  2 Sc 2.05, 2 Fe 2.10